# La2InRhPb, optimized geometry, DFT PBE
data_La2InRhPb
_chemical_formula_sum 'La2 In1 Rh1 Pb1'
_space_group_name_H-M_alt 'P 4/m m m'
_space_group_IT_number 123
_space_group_name_Hall '-P 4 2'
_cell_length_a 5.4737
_cell_length_b 5.4737
_cell_length_c 5.1716
_cell_angle_alpha 90.00
_cell_angle_beta 90.00
_cell_angle_gamma 90.00
loop_
_atom_site_label
_atom_site_fract_x
_atom_site_fract_y
_atom_site_fract_z
La1 0.0000 0.5000 0.0000
In1 0.0000 0.0000 0.5000
Rh1 0.0000 0.0000 0.0000
Pb1 0.5000 0.5000 0.5000
# Total energy in eV/atom: -5.33
# DFT formation energy in eV per atom: -0.598

---

# AlCuCl4, optimized geometry, DFT PBE
data_AlCuCl4
_chemical_formula_sum 'Al4 Cu4 Cl16'
_space_group_name_H-M_alt 'F -4 3 m'
_space_group_IT_number 216
_space_group_name_Hall 'F -4 2 3'
_cell_length_a 8.4236
_cell_length_b 8.4236
_cell_length_c 8.4236
_cell_angle_alpha 90.00
_cell_angle_beta 90.00
_cell_angle_gamma 90.00
loop_
_atom_site_label
_atom_site_fract_x
_atom_site_fract_y
_atom_site_fract_z
Al1 0.0000 0.0000 0.0000
Cu1 0.2500 0.2500 0.2500
Cl1 0.1250 0.1250 0.6250
# Total energy in eV/atom: -1.90
# ΔE_f (raw) in eV per atom: 0.636

---

# KLiO, optimized geometry, DFT PBE
data_KLiO
_chemical_formula_sum 'K4 Li4 O4'
_space_group_name_H-M_alt 'C 1 2/m 1'
_space_group_IT_number 12
_cell_length_a 9.7587
_cell_length_b 3.5620
_cell_length_c 6.4432
_cell_angle_alpha 90.00
_cell_angle_beta 114.32
_cell_angle_gamma 90.00
loop_
_space_group_symop_operation_xyz
'x,y,z'
'-x,-y,-z'
'-x,y,-z'
'x,-y,z'
'x+1/2,y+1/2,z'
'-x+1/2,-y+1/2,-z'
'-x+1/2,y+1/2,-z'
'x+1/2,-y+1/2,z'
loop_
_atom_site_label
_atom_site_fract_x
_atom_site_fract_y
_atom_site_fract_z
K1 0.0927 0.0000 0.3288
Li1 0.2146 0.5000 0.8859
O1 0.2210 0.0000 0.7827
# Total energy in eV/atom: -4.06
# ΔE_f (raw) in eV per atom: -1.400

---

# Ta2OsRu2, optimized geometry, DFT PBE
data_Ta2OsRu2
_chemical_formula_sum 'Ta4 Os2 Ru4'
_space_group_name_H-M_alt 'I 4/m m m'
_space_group_IT_number 139
_space_group_name_Hall '-I 4 2'
_cell_length_a 3.3855
_cell_length_b 3.3855
_cell_length_c 14.9971
_cell_angle_alpha 90.00
_cell_angle_beta 90.00
_cell_angle_gamma 90.00
loop_
_atom_site_label
_atom_site_fract_x
_atom_site_fract_y
_atom_site_fract_z
Ta1 0.0000 0.0000 0.1007
Os1 0.0000 0.0000 0.5000
Ru1 0.0000 0.5000 0.2500
# Total energy in eV/atom: -10.24
# E above lowest polymorph in eV per atom: 0.409
# DFT formation energy in eV per atom: 0.455

---

# KYAl2, optimized geometry, DFT PBE
data_KYAl2
_chemical_formula_sum 'K2 Y2 Al4'
_space_group_name_H-M_alt 'C 1 2/m 1'
_space_group_IT_number 12
_cell_length_a 10.2101
_cell_length_b 3.2170
_cell_length_c 7.7355
_cell_angle_alpha 90.00
_cell_angle_beta 96.33
_cell_angle_gamma 90.00
loop_
_space_group_symop_operation_xyz
'x,y,z'
'-x,-y,-z'
'-x,y,-z'
'x,-y,z'
'x+1/2,y+1/2,z'
'-x+1/2,-y+1/2,-z'
'-x+1/2,y+1/2,-z'
'x+1/2,-y+1/2,z'
loop_
_atom_site_label
_atom_site_fract_x
_atom_site_fract_y
_atom_site_fract_z
K1 0.0000 0.0000 0.0000
Y1 0.0000 0.5000 0.5000
Al1 0.2435 0.0000 0.6632
# Total energy in eV/atom: -3.56
# E above lowest polymorph in eV per atom: 0.200
# DFT formation energy in eV per atom: 0.201

---

# CaHgMo, optimized geometry, DFT PBE
data_CaHgMo
_chemical_formula_sum 'Ca1 Hg1 Mo1'
_space_group_name_H-M_alt 'P -6 m 2'
_space_group_IT_number 187
_space_group_name_Hall 'P -6 2'
_cell_length_a 5.0182
_cell_length_b 5.0182
_cell_length_c 2.9897
_cell_angle_alpha 90.00
_cell_angle_beta 90.00
_cell_angle_gamma 120.00
loop_
_atom_site_label
_atom_site_fract_x
_atom_site_fract_y
_atom_site_fract_z
Ca1 0.0000 0.0000 0.0000
Hg1 0.6667 0.3333 0.5000
Mo1 0.3333 0.6667 0.5000
# Total energy in eV/atom: -3.79
# E above lowest polymorph in eV per atom: 0.107
# DFT formation energy in eV per atom: 0.588

---

# AcSi2Ag, optimized geometry, DFT PBE
data_AcSi2Ag
_chemical_formula_sum 'Ac3 Si6 Ag3'
_space_group_name_H-M_alt 'R -3 m'
_space_group_IT_number 166
_space_group_name_Hall '-R 3 2"'
_cell_length_a 5.3489
_cell_length_b 5.3489
_cell_length_c 11.4056
_cell_angle_alpha 90.00
_cell_angle_beta 90.00
_cell_angle_gamma 120.00
loop_
_atom_site_label
_atom_site_fract_x
_atom_site_fract_y
_atom_site_fract_z
Ac1 0.0000 0.0000 0.0000
Si1 0.0000 0.0000 0.2750
Ag1 0.0000 0.0000 0.5000
# Total energy in eV/atom: -4.42
# E above lowest polymorph in eV per atom: 0.499
# ΔE_f (raw) in eV per atom: 0.035

---

# Y2CrSbC, optimized geometry, DFT PBE
data_Y2CrSbC
_chemical_formula_sum 'Y2 Cr1 Sb1 C1'
_space_group_name_H-M_alt 'P 4/m m m'
_space_group_IT_number 123
_space_group_name_Hall '-P 4 2'
_cell_length_a 5.0348
_cell_length_b 5.0348
_cell_length_c 3.9900
_cell_angle_alpha 90.00
_cell_angle_beta 90.00
_cell_angle_gamma 90.00
loop_
_atom_site_label
_atom_site_fract_x
_atom_site_fract_y
_atom_site_fract_z
Y1 0.0000 0.5000 0.0000
Cr1 0.0000 0.0000 0.5000
Sb1 0.5000 0.5000 0.5000
C1 0.0000 0.0000 0.0000
# Total energy in eV/atom: -7.61
# ΔE_f (raw) in eV per atom: -0.431

---

# Hf3ZrGe, optimized geometry, DFT PBE
data_Hf3ZrGe
_chemical_formula_sum 'Hf3 Zr1 Ge1'
_space_group_name_H-M_alt 'P m -3 m'
_space_group_IT_number 221
_space_group_name_Hall '-P 4 2 3'
_cell_length_a 5.1069
_cell_length_b 5.1069
_cell_length_c 5.1069
_cell_angle_alpha 90.00
_cell_angle_beta 90.00
_cell_angle_gamma 90.00
loop_
_atom_site_label
_atom_site_fract_x
_atom_site_fract_y
_atom_site_fract_z
Hf1 0.0000 0.0000 0.5000
Zr1 0.0000 0.0000 0.0000
Ge1 0.5000 0.5000 0.5000
# Total energy in eV/atom: -7.30
# E above lowest polymorph in eV per atom: 0.930
# DFT formation energy in eV per atom: 1.305

---

# Ca5LaPb6, optimized geometry, DFT PBE
data_Ca5LaPb6
_chemical_formula_sum 'Ca10 La2 Pb12'
_space_group_name_H-M_alt 'C 1 2/m 1'
_space_group_IT_number 12
_cell_length_a 16.3675
_cell_length_b 9.1605
_cell_length_c 5.1351
_cell_angle_alpha 90.00
_cell_angle_beta 108.18
_cell_angle_gamma 90.00
loop_
_space_group_symop_operation_xyz
'x,y,z'
'-x,-y,-z'
'-x,y,-z'
'x,-y,z'
'x+1/2,y+1/2,z'
'-x+1/2,-y+1/2,-z'
'-x+1/2,y+1/2,-z'
'x+1/2,-y+1/2,z'
loop_
_atom_site_label
_atom_site_fract_x
_atom_site_fract_y
_atom_site_fract_z
Ca1 0.0000 0.0000 0.0000
Ca2 0.1663 0.0000 0.6661
Ca3 0.1714 0.5000 0.6716
La1 0.0000 0.5000 0.0000
Pb1 0.0000 0.2496 0.5000
Pb2 0.1671 0.2500 0.1668
# Total energy in eV/atom: -3.63
# DFT formation energy in eV per atom: -0.532

---

# LiPmSnS3, optimized geometry, DFT PBE
data_LiPmSnS3
_chemical_formula_sum 'Li2 Pm2 Sn2 S6'
_space_group_name_H-M_alt 'P 1 21/m 1'
_space_group_IT_number 11
_cell_length_a 8.5358
_cell_length_b 3.8645
_cell_length_c 8.8239
_cell_angle_alpha 90.00
_cell_angle_beta 95.43
_cell_angle_gamma 90.00
loop_
_space_group_symop_operation_xyz
'x,y,z'
'-x,-y,-z'
'-x,y+1/2,-z'
'x,-y+1/2,z'
loop_
_atom_site_label
_atom_site_fract_x
_atom_site_fract_y
_atom_site_fract_z
Li1 0.1057 0.2500 0.0827
Pm1 0.1503 0.2500 0.7052
Sn1 0.3547 0.7500 0.3303
S1 0.1079 0.2500 0.3684
S2 0.1816 0.7500 0.9412
S3 0.3826 0.7500 0.6255
# Total energy in eV/atom: -5.13
# ΔE_f (raw) in eV per atom: -1.290

---

# Ca2Nd4Ho5, optimized geometry, DFT PBE
data_Ca2Nd4Ho5
_chemical_formula_sum 'Ca4 Nd8 Ho10'
_space_group_name_H-M_alt 'C 1 2/m 1'
_space_group_IT_number 12
_cell_length_a 12.4319
_cell_length_b 6.8346
_cell_length_c 10.2484
_cell_angle_alpha 90.00
_cell_angle_beta 119.80
_cell_angle_gamma 90.00
loop_
_space_group_symop_operation_xyz
'x,y,z'
'-x,-y,-z'
'-x,y,-z'
'x,-y,z'
'x+1/2,y+1/2,z'
'-x+1/2,-y+1/2,-z'
'-x+1/2,y+1/2,-z'
'x+1/2,-y+1/2,z'
loop_
_atom_site_label
_atom_site_fract_x
_atom_site_fract_y
_atom_site_fract_z
Ca1 0.0880 0.0000 0.2668
Nd1 0.1286 0.5000 0.3808
Nd2 0.2190 0.0000 0.0175
Ho1 0.0000 0.5000 0.0000
Ho2 0.1377 0.2408 0.6669
# Total energy in eV/atom: -3.99
# DFT formation energy in eV per atom: 0.191

---

# Ho2CuBPt6, optimized geometry, DFT PBE
data_Ho2CuBPt6
_chemical_formula_sum 'Ho6 Cu3 B3 Pt18'
_space_group_name_H-M_alt 'R -3 m'
_space_group_IT_number 166
_space_group_name_Hall '-R 3 2"'
_cell_length_a 5.5553
_cell_length_b 5.5553
_cell_length_c 19.8926
_cell_angle_alpha 90.00
_cell_angle_beta 90.00
_cell_angle_gamma 120.00
loop_
_atom_site_label
_atom_site_fract_x
_atom_site_fract_y
_atom_site_fract_z
Ho1 0.0000 0.0000 0.2065
Cu1 0.0000 0.0000 0.5000
B1 0.0000 0.0000 0.0000
Pt1 0.0067 0.5033 0.2661
# Total energy in eV/atom: -6.43
# DFT formation energy in eV per atom: -0.813

---

# Tb2Pr2Nd5, optimized geometry, DFT PBE
data_Tb2Pr2Nd5
_chemical_formula_sum 'Tb8 Pr8 Nd20'
_space_group_name_H-M_alt 'I m a 2'
_space_group_IT_number 46
_cell_length_a 15.1217
_cell_length_b 12.0861
_cell_length_c 6.9032
_cell_angle_alpha 90.00
_cell_angle_beta 90.00
_cell_angle_gamma 90.00
loop_
_space_group_symop_operation_xyz
'x,y,z'
'-x,-y,z'
'-x+1/2,y,z'
'x+1/2,-y,z'
'x+1/2,y+1/2,z+1/2'
'-x+1/2,-y+1/2,z+1/2'
'-x,y+1/2,z+1/2'
'x,-y+1/2,z+1/2'
loop_
_atom_site_label
_atom_site_fract_x
_atom_site_fract_y
_atom_site_fract_z
Tb1 0.1258 0.0042 0.0000
Pr1 0.0000 0.0000 0.4727
Pr2 0.2500 0.0039 0.5343
Nd1 0.0529 0.7502 0.1525
Nd2 0.1432 0.2323 0.3285
Nd3 0.2500 0.7352 0.3505
# Total energy in eV/atom: -4.54
# E above lowest polymorph in eV per atom: 0.181
# DFT formation energy in eV per atom: 0.195